Entry 1:
InAg2Mo | PBE-GGA | optimized geometry

abc: 5.120 5.120 5.317
angles: 100.38 100.38 32.36
Element x y z (fractional)
1 In 0.000 0.000 0.000
2 Ag 0.499 0.499 0.511
3 Ag 0.746 0.746 0.298
4 Mo 0.251 0.251 0.796

Properties
Its crystal system is monoclinic. The total magnetization is 0.00 μB per formula unit. Its space-group type is Cm, No. 8. The value obtained for the formation energy is 420.4 meV per atom. As for the calculated density: 9.66 g/cm3.

=====

Entry 2:
InAgMo | PBE-GGA | optimized geometry

abc: 6.938 6.938 6.938
angles: 156.13 156.13 34.01
Element x y z (fractional)
1 In 0.000 0.000 0.000
2 Ag 0.675 0.675 0.000
3 Mo 0.336 0.336 0.000

Properties
Its crystal system is tetragonal. The total magnetization is 0.00 μB per formula unit. Its space-group type is I4mm, No. 107. For the energy relative to the lowest polymorph listed for this composition, the calculation gives 0 meV per atom. The value obtained for the formation energy is 384.9 meV per atom. As for the calculated density: 9.69 g/cm3.

=====

Entry 3:
InAgMo2 | PBE-GGA | optimized geometry

abc: 4.630 4.630 4.630
angles: 60.00 60.00 60.00
Element x y z (fractional)
1 In 0.000 0.000 0.000
2 Ag 0.750 0.750 0.750
3 Mo 0.250 0.250 0.250
4 Mo 0.500 0.500 0.500

Properties
Its crystal system is cubic. The total magnetization is 0.00 μB per formula unit. Its space-group type is F-43m, No. 216. The value obtained for the formation energy is 506.5 meV per atom. As for the calculated density: 9.81 g/cm3.

=====

Entry 4:
InAgMo2 | PBE-GGA | optimized geometry

abc: 4.969 4.969 4.969
angles: 130.51 130.51 72.60
Element x y z (fractional)
1 In 0.000 0.000 0.000
2 Ag 0.750 0.250 0.500
3 Mo 0.250 0.750 0.500
4 Mo 0.500 0.500 0.000

Properties
Its crystal system is tetragonal. The total magnetization is 0.00 μB per formula unit. Its space-group type is I-4m2, No. 119. The value obtained for the formation energy is 454.9 meV per atom. As for the calculated density: 9.93 g/cm3.

=====

Entry 5:
InAgMo2 | PBE-GGA | optimized geometry

abc: 9.931 9.931 9.931
angles: 16.78 16.78 16.78
Element x y z (fractional)
1 In 0.000 0.000 0.000
2 Ag 0.245 0.245 0.245
3 Mo 0.496 0.496 0.496
4 Mo 0.750 0.750 0.750

Properties
Its crystal system is trigonal. The total magnetization is 0.00 μB per formula unit. Its space-group type is R3m, No. 160. The value obtained for the formation energy is 431.9 meV per atom. As for the calculated density: 9.67 g/cm3.

=====

Entry 6:
InAgMo2 | PBE-GGA | optimized geometry

abc: 4.964 4.964 5.300
angles: 95.10 95.10 32.64
Element x y z (fractional)
1 In 0.000 0.000 0.000
2 Ag 0.250 0.250 0.776
3 Mo 0.505 0.505 0.492
4 Mo 0.748 0.748 0.292

Properties
Its crystal system is monoclinic. The total magnetization is 0.00 μB per formula unit. Its space-group type is Cm, No. 8. The value obtained for the formation energy is 409.9 meV per atom. As for the calculated density: 9.82 g/cm3.

=====

Entry 7:
InAgMo2 | PBE-GGA | optimized geometry

abc: 5.355 5.355 5.355
angles: 143.48 127.12 65.98
Element x y z (fractional)
1 In 0.000 0.000 0.000
2 Ag 0.744 0.244 0.500
3 Mo 0.271 0.771 0.500
4 Mo 0.475 0.475 0.000

Properties
Its crystal system is orthorhombic. The total magnetization is 0.00 μB per formula unit. Its space-group type is Imm2, No. 44. The value obtained for the formation energy is 356.5 meV per atom. As for the calculated density: 9.58 g/cm3.

=====

Entry 8:
InAgMo | PBE-GGA | optimized geometry

abc: 2.958 2.958 7.283
angles: 90.00 90.00 120.00
Element x y z (fractional)
1 In 0.000 0.000 0.000
2 Ag 0.333 0.667 0.655
3 Mo 0.667 0.333 0.331

Properties
Its crystal system is trigonal. The total magnetization is 0.00 μB per formula unit. Its space-group type is P3m1, No. 156. For the energy relative to the lowest polymorph listed for this composition, the calculation gives 29 meV per atom. The value obtained for the formation energy is 413.7 meV per atom. As for the calculated density: 9.59 g/cm3.

=====

Entry 9:
InAgMo | PBE-GGA | optimized geometry

abc: 4.492 4.492 4.492
angles: 60.00 60.00 60.00
Element x y z (fractional)
1 In 0.000 0.000 0.000
2 Ag 0.750 0.750 0.750
3 Mo 0.500 0.500 0.500

Properties
Its crystal system is cubic. The total magnetization is 1.97 μB per formula unit. Its space-group type is F-43m, No. 216. For the energy relative to the lowest polymorph listed for this composition, the calculation gives 489 meV per atom. The value obtained for the formation energy is 873.7 meV per atom. As for the calculated density: 8.25 g/cm3.

=====

Entry 10:
InAgMo2 | PBE-GGA | optimized geometry

abc: 2.790 2.790 9.100
angles: 90.00 90.00 90.00
Element x y z (fractional)
1 In 0.000 0.000 0.000
2 Ag 0.500 0.500 0.734
3 Mo 0.000 0.000 0.490
4 Mo 0.500 0.500 0.249

Properties
Its crystal system is tetragonal. The total magnetization is 0.00 μB per formula unit. Its space-group type is P4mm, No. 99. The value obtained for the formation energy is 412.1 meV per atom. As for the calculated density: 9.72 g/cm3.

=====

Entry 11:
InAgMo2 | PBE-GGA | optimized geometry

abc: 3.318 3.318 6.541
angles: 90.00 90.00 90.00
Element x y z (fractional)
1 In 0.000 0.000 0.000
2 Ag 0.500 0.500 0.746
3 Mo 0.000 0.000 0.465
4 Mo 0.500 0.500 0.289

Properties
Its crystal system is tetragonal. The total magnetization is 0.00 μB per formula unit. Its space-group type is P4mm, No. 99. The value obtained for the formation energy is 276.5 meV per atom. As for the calculated density: 9.56 g/cm3.

=====

Entry 12:
InAgMo2 | PBE-GGA | optimized geometry

abc: 2.831 4.538 5.531
angles: 90.00 97.12 90.00
Element x y z (fractional)
1 In 0.000 0.000 0.000
2 Ag 0.053 0.500 0.740
3 Mo 0.444 0.000 0.485
4 Mo 0.618 0.500 0.263

Properties
Its crystal system is monoclinic. The total magnetization is 0.00 μB per formula unit. Its space-group type is Pm, No. 6. The value obtained for the formation energy is 352.3 meV per atom. As for the calculated density: 9.76 g/cm3.

=====

Entry 13:
InAgMo2 | PBE-GGA | optimized geometry

abc: 2.758 4.317 5.928
angles: 90.00 90.00 90.00
Element x y z (fractional)
1 In 0.000 0.000 0.000
2 Ag 0.500 0.500 0.754
3 Mo 0.000 0.000 0.486
4 Mo 0.500 0.500 0.277

Properties
Its crystal system is orthorhombic. The total magnetization is 0.00 μB per formula unit. Its space-group type is Pmm2, No. 25. The value obtained for the formation energy is 425.1 meV per atom. As for the calculated density: 9.75 g/cm3.

=====

Entry 14:
InAgMo4 | PBE-GGA | optimized geometry

abc: 5.321 5.321 5.321
angles: 60.00 60.00 60.00
Element x y z (fractional)
1 In 0.000 0.000 0.000
2 Ag 0.250 0.250 0.250
3 Mo 0.129 0.624 0.624
4 Mo 0.624 0.129 0.624
5 Mo 0.624 0.624 0.129
6 Mo 0.624 0.624 0.624

Properties
Its crystal system is cubic. The total magnetization is 0.00 μB per formula unit. Its space-group type is F-43m, No. 216. The value obtained for the formation energy is 520.7 meV per atom. As for the calculated density: 9.46 g/cm3.

=====

Entry 15:
InAgMo2 | PBE-GGA | optimized geometry

abc: 2.789 4.629 5.458
angles: 90.00 98.86 90.00
Element x y z (fractional)
1 In 0.000 0.000 0.000
2 Ag 0.000 0.000 0.500
3 Mo 0.495 0.500 0.751
4 Mo 0.505 0.500 0.249

Properties
Its crystal system is monoclinic. The total magnetization is 0.00 μB per formula unit. Its space-group type is P2/m, No. 10. The value obtained for the formation energy is 440.3 meV per atom. As for the calculated density: 9.89 g/cm3.